[1]
{
  "formula": "Ho6ZnIn3",
  "functional": "GGA-PBE",
  "state": "optimized geometry",
  "formation_enthalpy_0k_ev_per_atom": -0.332,
  "rho_kg_m3": 8762,
  "sg": "P2_1/m, No. 11",
  "cell": [[5.2524, 0.0000, 0.0000], [0.0000, 8.6914, -2.9207], [0.0000, 0.0555, 11.6009]],
  "species": ["Ho", "Ho", "Ho", "Ho", "Ho", "Ho", "Ho", "Ho", "Ho", "Ho", "Ho", "Ho", "In", "In", "In", "In", "In", "In", "Zn", "Zn"],
  "fractional_positions": [[0.7500, 0.8646, 0.8351], [0.7500, 0.1485, 0.6810], [0.2500, 0.8515, 0.3190], [0.2500, 0.2329, 0.4951], [0.7500, 0.7671, 0.5049], [0.2500, 0.6714, 0.6703], [0.7500, 0.9008, 0.1295], [0.2500, 0.0992, 0.8705], [0.2500, 0.1354, 0.1649], [0.2500, 0.4652, 0.0867], [0.7500, 0.5348, 0.9133], [0.7500, 0.3286, 0.3297], [0.7500, 0.2244, 0.0302], [0.2500, 0.3800, 0.7786], [0.2500, 0.5275, 0.3818], [0.7500, 0.6200, 0.2214], [0.7500, 0.4725, 0.6182], [0.2500, 0.7756, 0.9698], [0.2500, 0.9597, 0.6006], [0.7500, 0.0403, 0.3994]]
}

[2]
{
  "formula": "HoZn2In",
  "functional": "GGA-PBE",
  "state": "optimized geometry",
  "formation_enthalpy_0k_ev_per_atom": -0.088,
  "rho_kg_m3": 7647,
  "sg": "Amm2, No. 38",
  "cell": [[4.4560, 0.0000, 0.0000], [0.0000, 4.7061, -2.6942], [0.0000, -0.5199, 4.5490]],
  "species": ["Ho", "In", "Zn", "Zn"],
  "fractional_positions": [[0.5000, 0.8153, 0.6306], [0.0000, 0.4739, 0.9479], [0.0000, 0.0871, 0.1743], [0.5000, 0.2267, 0.4533]]
}

[3]
{
  "formula": "Ho2ZnIn",
  "functional": "GGA-PBE",
  "state": "optimized geometry",
  "formation_enthalpy_0k_ev_per_atom": -0.395,
  "rho_kg_m3": 8651,
  "sg": "I4/mmm, No. 139",
  "cell": [[5.1534, -0.3910, -0.1399], [2.8711, 4.1135, -1.2719], [2.8708, 2.3698, 3.5950]],
  "species": ["In", "Ho", "Ho", "Zn"],
  "fractional_positions": [[0.2500, 0.2500, 0.2500], [0.5000, 0.5000, 0.5000], [0.0000, 0.0000, 0.0000], [0.7500, 0.7500, 0.7500]]
}

[4]
{
  "formula": "Ho4Zn2In",
  "functional": "GGA-PBE",
  "state": "optimized geometry",
  "de_polymorph_mev_per_atom": 0,
  "formation_enthalpy_0k_ev_per_atom": -0.218,
  "rho_kg_m3": 8402,
  "sg": "R-3m, No. 166",
  "cell": [[4.8206, 0.0000, 1.5061], [2.1751, 4.3021, 1.5061], [-0.0441, -0.0271, 8.6091]],
  "species": ["Zn", "Zn", "Ho", "Ho", "Ho", "Ho", "In"],
  "fractional_positions": [[0.2543, 0.2543, 0.2371], [0.7457, 0.7457, 0.7629], [0.1322, 0.1322, 0.6034], [0.3864, 0.3864, 0.8407], [0.8678, 0.8678, 0.3966], [0.6136, 0.6136, 0.1593], [0.0000, 0.0000, 0.0000]]
}

[5]
{
  "formula": "HoZn2In",
  "functional": "GGA-PBE",
  "state": "optimized geometry",
  "formation_enthalpy_0k_ev_per_atom": -0.293,
  "rho_kg_m3": 8206,
  "sg": "P4/mmm, No. 123",
  "cell": [[-1.4766, -1.9907, 3.2602], [3.9606, -2.0797, 0.5240], [1.4009, 3.3418, 2.6750]],
  "species": ["In", "Zn", "Zn", "Ho"],
  "fractional_positions": [[0.5000, 0.0000, 0.0000], [0.0000, 0.0000, 0.5000], [0.0000, 0.5000, 0.0000], [0.5000, 0.5000, 0.5000]]
}

[6]
{
  "formula": "Ho2Zn3In3",
  "functional": "GGA-PBE",
  "state": "optimized geometry",
  "formation_enthalpy_0k_ev_per_atom": -0.318,
  "rho_kg_m3": 8335,
  "sg": "Pmmm, No. 47",
  "cell": [[-2.4884, 2.8610, 2.2215], [-1.2549, -3.2378, 2.7643], [6.8843, 1.8649, 5.3095]],
  "species": ["Ho", "Ho", "In", "In", "In", "Zn", "Zn", "Zn"],
  "fractional_positions": [[0.0000, 0.0000, 0.2443], [0.0000, 0.0000, 0.7557], [0.5000, 0.0000, 0.5000], [0.0000, 0.5000, 0.5000], [0.0000, 0.5000, 0.0000], [0.5000, 0.5000, 0.2384], [0.5000, 0.5000, 0.7616], [0.5000, 0.0000, 0.0000]]
}

[7]
{
  "formula": "Ho4Zn2In",
  "functional": "GGA-PBE",
  "state": "optimized geometry",
  "de_polymorph_mev_per_atom": 128,
  "formation_enthalpy_0k_ev_per_atom": -0.089,
  "rho_kg_m3": 7794,
  "sg": "R-3m, No. 166",
  "cell": [[4.9483, 0.0000, 0.0000], [2.4742, 4.2854, 0.0000], [2.4742, 1.4285, 9.0960]],
  "species": ["Ho", "Ho", "Ho", "Ho", "In", "Zn", "Zn"],
  "fractional_positions": [[0.3822, 0.3822, 0.8535], [0.6178, 0.6178, 0.1465], [0.2035, 0.2035, 0.3895], [0.7965, 0.7965, 0.6105], [0.0000, 0.0000, 0.0000], [0.9019, 0.9019, 0.2942], [0.0981, 0.0981, 0.7058]]
}

[8]
{
  "formula": "Ho2Zn6In",
  "functional": "GGA-PBE",
  "state": "optimized geometry",
  "formation_enthalpy_0k_ev_per_atom": -0.279,
  "rho_kg_m3": 8127,
  "sg": "P-3m1, No. 164",
  "cell": [[5.8672, -0.0003, 0.0027], [0.0018, 5.0247, -2.8977], [-0.0007, -0.0019, 5.8029]],
  "species": ["Ho", "Ho", "Zn", "Zn", "Zn", "Zn", "Zn", "Zn", "In"],
  "fractional_positions": [[0.1480, 0.3333, 0.6666], [0.8520, 0.6667, 0.3334], [0.6533, 0.1832, 0.3665], [0.3467, 0.8168, 0.6335], [0.6534, 0.6337, 0.8169], [0.3466, 0.3663, 0.1831], [0.6534, 0.1832, 0.8169], [0.3466, 0.8168, 0.1831], [0.0000, 0.0000, 0.0000]]
}

Q: Number 8 is which compound?
A: Ho2Zn6In